This record from the Alexandria database describes a geometry-optimized Li2CdPb structure. The functional is GGA-PBEsol.

Lattice parameters (Å, degrees): 4.7650 4.7650 4.7650 120.13 120.13 89.77
Sites, in units of the cell vectors:
Li (0.2500, 0.7500, 0.5000)
Li (0.7500, 0.2500, 0.5000)
Cd (0.0000, 0.0000, 0.0000)
Pb (0.5000, 0.5000, 0.0000)

DFT formation energy: -0.2871 eV/atom
volume: 76.35 Å³/cell


This record from the Alexandria database describes a geometry-optimized Y2AgP structure. The functional is GGA-PBEsol.

Lattice parameters (Å, degrees): 4.9916 4.9916 4.9916 122.68 122.68 85.42
Sites, in units of the cell vectors:
Y (0.2500, 0.7500, 0.5000)
Y (0.7500, 0.2500, 0.5000)
Ag (0.0000, 0.0000, 0.0000)
P (0.5000, 0.5000, 0.0000)

DFT formation energy: -0.6370 eV/atom
volume: 84.09 Å³/cell


This record from the Alexandria database describes a geometry-optimized PtSe2F structure. The functional is GGA-PBEsol.

Lattice parameters (Å, degrees): 7.1875 7.1875 7.1875 30.66 30.66 30.66
Sites, in units of the cell vectors:
Pt (0.0000, 0.0000, 0.0000)
Se (0.3933, 0.3933, 0.3933)
Se (0.6067, 0.6067, 0.6067)
F (0.5000, 0.5000, 0.5000)

energy relative to the elements, uncorrected: -592 meV per atom
volume: 85.63 Å³/cell


This record from the Alexandria database describes a geometry-optimized YAg4 structure. The functional is GGA-PBEsol.

Lattice parameters (Å, degrees): 7.9710 7.9710 7.9710 154.30 154.30 36.66
Sites, in units of the cell vectors:
Y (0.0000, 0.0000, 0.0000)
Ag (0.2032, 0.2032, 0.0000)
Ag (0.3894, 0.3894, 0.0000)
Ag (0.6106, 0.6106, 0.0000)
Ag (0.7968, 0.7968, 0.0000)

DFT formation energy: -0.1531 eV/atom
volume: 95.08 Å³/cell